1.
Pr2InS4 | the Alexandria database | PBE | optimized geometry; raw formation energy = -1.37 eV per atom; spin magnetization = 0.00 μB/f.u.; calculated total energy = -0.4032 Ry/atom; mass density = 4.5 g/cm³
1.0
7.0474 0.0000 0.0000
0.0000 7.1711 0.0000
-1.7462 0.0000 7.5933
Pr In S
4 2 8
Cartesian
1.1489 1.7928 0.2950 Pr
0.4794 1.7928 4.0912 Pr
4.8218 5.3783 3.5021 Pr
4.1523 5.3783 7.2983 Pr
0.4981 5.3783 6.4691 In
4.8031 1.7928 1.1242 In
-0.4387 3.6130 1.9745 S
-0.4387 7.1436 1.9745 S
1.8024 1.7928 6.5254 S
2.8310 1.7928 2.6181 S
2.4702 5.3783 4.9752 S
3.4988 5.3783 1.0679 S
5.7399 0.0275 5.6188 S
5.7399 3.5580 5.6188 S

***

2.
Pr2InS5 | the Alexandria database | PBE | optimized geometry; raw formation energy = -1.23 eV per atom; spin magnetization = 0.00 μB/f.u.; calculated total energy = -0.3927 Ry/atom; mass density = 3.8 g/cm³
1.0
2.7502 -7.1149 0.0000
2.7502 7.1149 0.0000
0.0000 0.0000 12.5277
Pr In S
4 2 10
Cartesian
2.7502 4.8578 7.1560 Pr
2.7502 4.8578 11.6356 Pr
2.7502 -4.8578 0.8922 Pr
2.7502 -4.8578 5.3717 Pr
2.7502 4.6421 3.1319 In
2.7502 -4.6421 9.3958 In
2.7502 6.6172 1.3840 S
2.7502 6.6172 4.8799 S
2.7502 3.0503 9.3958 S
2.7502 2.9078 1.1690 S
2.7502 2.9078 5.0949 S
2.7502 -2.9078 7.4329 S
2.7502 -2.9078 11.3588 S
2.7502 -3.0503 3.1319 S
2.7502 -6.6172 7.6479 S
2.7502 -6.6172 11.1437 S

***

3.
PrIn2S4 | the Alexandria database | PBE | optimized geometry; raw formation energy = -1.01 eV per atom; spin magnetization = 0.00 μB/f.u.; calculated total energy = -0.3553 Ry/atom; mass density = 5.0 g/cm³
1.0
1.9666 -6.4450 0.0000
1.9666 6.4450 0.0000
0.0000 0.0000 12.9479
Pr In S
2 4 8
Cartesian
1.9666 4.9739 9.7109 Pr
1.9666 -4.9739 3.2370 Pr
1.9666 1.6832 7.3099 In
1.9666 1.6832 12.1120 In
1.9666 -1.6832 0.8359 In
1.9666 -1.6832 5.6380 In
0.0000 0.0000 0.0000 S
0.0000 0.0000 6.4740 S
1.9666 2.8553 1.5370 S
1.9666 2.8553 4.9370 S
1.9666 0.6054 9.7109 S
1.9666 -0.6054 3.2370 S
1.9666 -2.8553 8.0110 S
1.9666 -2.8553 11.4109 S